Record 1
Material: Mn3Fe2C
Method: DFT, GGA-PBE
State: relaxed

Its space-group type is P4_132, No. 213.

Unit cell a=6.220 b=6.220 c=6.220 alpha=90.00 beta=90.00 gamma=90.00
Fractional positions:
Mn: 0.050 0.125 0.800
Mn: 0.125 0.800 0.050
Mn: 0.200 0.550 0.375
Mn: 0.300 0.450 0.875
Mn: 0.375 0.200 0.550
Mn: 0.450 0.875 0.300
Mn: 0.550 0.375 0.200
Mn: 0.625 0.700 0.950
Mn: 0.700 0.950 0.625
Mn: 0.800 0.050 0.125
Mn: 0.875 0.300 0.450
Mn: 0.950 0.625 0.700
Fe: 0.062 0.938 0.438
Fe: 0.188 0.188 0.188
Fe: 0.312 0.812 0.688
Fe: 0.438 0.062 0.938
Fe: 0.562 0.562 0.562
Fe: 0.688 0.312 0.812
Fe: 0.812 0.688 0.312
Fe: 0.938 0.438 0.062
C: 0.125 0.375 0.625
C: 0.375 0.625 0.125
C: 0.625 0.125 0.375
C: 0.875 0.875 0.875

=====

Record 2
Material: Mn4FeC2
Method: DFT, GGA-PBE
State: relaxed

Its space-group type is C2, No. 5.

Unit cell a=6.209 b=6.209 c=5.003 alpha=96.88 beta=96.88 gamma=42.37
Fractional positions:
Mn: 0.000 0.000 0.000
Mn: 0.052 0.382 0.559
Mn: 0.244 0.561 0.337
Mn: 0.417 0.386 0.831
Mn: 0.439 0.756 0.663
Mn: 0.614 0.583 0.169
Mn: 0.618 0.948 0.441
Mn: 0.854 0.146 0.500
Fe: 0.223 0.210 0.061
Fe: 0.790 0.777 0.939
C: 0.224 0.006 0.328
C: 0.629 0.144 0.170
C: 0.856 0.371 0.830
C: 0.994 0.776 0.672

=====

| no. | E_tot (Ry per atom) | E_form (eV per formula unit) |
| --- | --- | --- |
| 1 | -0.654 | 0.261 |
| 2 | -0.669 | -0.143 |